i.
VASP calculation (PBE) on a relaxed Ag2OsRu crystal.

Space group   Immm
V   64.1 Å³/cell

a b c (Å): 5.650 5.650 5.650
angles (deg): 151.66 131.10 57.48
Last column: magnetic moment on the atom in μB.
Positions (direct):
Os (0.750, 0.250, 0.500)  0.34
Ag (0.501, 0.501, 0.000)  0.02
Ag (0.999, 0.999, 0.000)  0.02
Ru (0.250, 0.750, 0.500)  0.69

ii.
VASP calculation (PBE) on a relaxed Ag2OsRu crystal.

Space group   P4/mmm
V   64.8 Å³/cell

a b c (Å): 4.919 4.919 2.679
angles (deg): 90.00 90.00 90.00
Last column: magnetic moment on the atom in μB.
Positions (direct):
Os (0.500, 0.000, 0.500)  0.49
Ru (0.000, 0.500, 0.500)  1.27
Ag (0.000, 0.000, 0.000)  0.02
Ag (0.500, 0.500, 0.000)  0.02

Least stable: ii

i.
VASP calculation (PBE) on a relaxed AgOs3S crystal.

Space group   Pm-3m
V   82.8 Å³/cell

a b c (Å): 4.359 4.359 4.359
angles (deg): 90.00 90.00 90.00
Last column: magnetic moment on the atom in μB.
Positions (direct):
Os (0.500, 0.000, 0.000)  0.48
Os (0.000, 0.000, 0.500)  0.18
Os (0.000, 0.500, 0.000)  0.34
Ag (0.500, 0.500, 0.500)  0.05
S (0.000, 0.000, 0.000)  -0.01

ii.
VASP calculation (PBE) on a relaxed AgOs3S crystal.

Space group   Pm-3m
V   115.0 Å³/cell

a b c (Å): 4.863 4.863 4.863
angles (deg): 90.00 90.00 90.00
Last column: magnetic moment on the atom in μB.
Positions (direct):
Os (0.000, 0.000, 0.500)  2.64
Os (0.500, 0.000, 0.000)  1.83
Os (0.000, 0.500, 0.000)  2.29
S (0.500, 0.500, 0.500)  0.21
Ag (0.000, 0.000, 0.000)  0.17

Least stable: ii

i.
VASP calculation (PBE) on a relaxed ScAg2Os crystal.

Space group   I4/mmm
V   68.9 Å³/cell

a b c (Å): 5.254 5.254 5.254
angles (deg): 136.08 136.08 63.86
Positions (direct):
Ag (0.500, 0.500, 0.000)
Ag (0.000, 0.000, 0.000)
Os (0.250, 0.750, 0.500)
Sc (0.750, 0.250, 0.500)

ii.
VASP calculation (PBE) on a relaxed ScAg2Os crystal.

Space group   C2/m
V   69.8 Å³/cell

a b c (Å): 5.430 5.430 4.520
angles (deg): 73.03 73.03 33.36
Positions (direct):
Ag (0.013, 0.013, 0.989)
Ag (0.487, 0.487, 0.511)
Os (0.750, 0.750, 0.750)
Sc (0.250, 0.250, 0.250)

Least stable: i

i.
VASP calculation (PBE) on a relaxed Sc2AgOs crystal.

Space group   R-3m
V   76.8 Å³/cell

a b c (Å): 9.029 9.029 9.029
angles (deg): 20.19 20.19 20.19
Positions (direct):
Sc (0.491, 0.491, 0.491)
Sc (0.009, 0.009, 0.009)
Ag (0.250, 0.250, 0.250)
Os (0.750, 0.750, 0.750)

ii.
VASP calculation (PBE) on a relaxed Sc2AgOs crystal.

Space group   Cm
V   74.6 Å³/cell

a b c (Å): 5.261 5.261 4.741
angles (deg): 75.32 75.32 36.16
Positions (direct):
Sc (0.758, 0.758, 0.703)
Sc (0.978, 0.978, 0.075)
Os (0.253, 0.253, 0.182)
Ag (0.511, 0.511, 0.540)

iii.
VASP calculation (PBE) on a relaxed Sc2AgOs crystal.

Space group   Cmm2
V   76.4 Å³/cell

a b c (Å): 2.933 2.933 9.478
angles (deg): 90.00 90.00 110.45
Positions (direct):
Sc (0.000, 0.000, 0.963)
Sc (0.500, 0.500, 0.265)
Os (0.500, 0.500, 0.758)
Ag (0.000, 0.000, 0.514)

Least stable: iii

i.
VASP calculation (PBE) on a relaxed Sc2AgOs crystal.

Space group   F-43m
V   71.7 Å³/cell

a b c (Å): 4.664 4.664 4.664
angles (deg): 60.00 60.00 60.00
Positions (direct):
Ag (0.500, 0.500, 0.500)
Os (0.750, 0.750, 0.750)
Sc (0.250, 0.250, 0.250)
Sc (0.000, 0.000, 0.000)

ii.
VASP calculation (PBE) on a relaxed Sc2AgOs crystal.

Space group   I-42d
V   157.5 Å³/cell

a b c (Å): 7.296 7.296 5.948
angles (deg): 52.17 52.17 90.00
Positions (direct):
Sc (0.101, 0.625, 0.250)
Sc (0.875, 0.899, 0.750)
Sc (0.649, 0.125, 0.250)
Sc (0.375, 0.351, 0.750)
Os (0.000, 0.000, 0.000)
Os (0.750, 0.250, 0.500)
Ag (0.500, 0.500, 0.000)
Ag (0.250, 0.750, 0.500)

Least stable: ii

i.
VASP calculation (PBE) on a relaxed Sc2AgOs crystal.

Space group   Fm-3m
V   72.1 Å³/cell

a b c (Å): 4.672 4.672 4.672
angles (deg): 60.00 60.00 60.00
Positions (direct):
Ag (0.000, 0.000, 0.000)
Sc (0.750, 0.750, 0.750)
Sc (0.250, 0.250, 0.250)
Os (0.500, 0.500, 0.500)

ii.
VASP calculation (PBE) on a relaxed Sc2AgOs crystal.

Space group   P4/mmm
V   74.5 Å³/cell

a b c (Å): 3.224 3.224 7.166
angles (deg): 90.00 90.00 90.00
Positions (direct):
Os (0.500, 0.500, 0.750)
Sc (0.000, 0.000, 0.532)
Sc (0.000, 0.000, 0.968)
Ag (0.500, 0.500, 0.250)

iii.
VASP calculation (PBE) on a relaxed Sc2AgOs crystal.

Space group   Pmm2
V   76.1 Å³/cell

a b c (Å): 3.183 4.226 5.659
angles (deg): 90.00 90.00 90.00
Positions (direct):
Os (0.500, 0.500, 0.807)
Sc (0.000, 0.000, 0.944)
Sc (0.500, 0.500, 0.278)
Ag (0.000, 0.000, 0.471)

iv.
VASP calculation (PBE) on a relaxed Sc2AgOs crystal.

Space group   Imm2
V   74.8 Å³/cell

a b c (Å): 5.654 5.654 5.654
angles (deg): 145.49 132.53 60.01
Positions (direct):
Sc (0.029, 0.029, 0.000)
Sc (0.745, 0.245, 0.500)
Os (0.244, 0.744, 0.500)
Ag (0.482, 0.482, 0.000)

Least stable: iii

i.
VASP calculation (PBE) on a relaxed Sc2AgOs crystal.

Space group   C2/m
V   82.0 Å³/cell

a b c (Å): 3.951 3.951 7.297
angles (deg): 82.35 82.35 46.68
Positions (direct):
Sc (0.507, 0.507, 0.458)
Sc (0.993, 0.993, 0.042)
Ag (0.750, 0.750, 0.750)
Os (0.250, 0.250, 0.250)

ii.
VASP calculation (PBE) on a relaxed Sc2AgOs crystal.

Space group   R3m
V   77.6 Å³/cell

a b c (Å): 9.751 9.751 9.751
angles (deg): 18.04 18.04 18.04
Last column: magnetic moment on the atom in μB.
Positions (direct):
Os (0.747, 0.747, 0.747)  0.03
Ag (0.495, 0.495, 0.495)  0.01
Sc (0.245, 0.245, 0.245)  0.32
Sc (0.013, 0.013, 0.013)  0.05

Least stable: ii

i.
VASP calculation (PBE) on a relaxed ScAg3Os crystal.

Space group   Pm-3m
V   114.5 Å³/cell

a b c (Å): 4.857 4.857 4.857
angles (deg): 90.00 90.00 90.00
Last column: magnetic moment on the atom in μB.
Positions (direct):
Os (0.500, 0.500, 0.500)  1.88
Ag (0.000, 0.000, 0.500)  -0.01
Ag (0.500, 0.000, 0.000)  -0.02
Ag (0.000, 0.500, 0.000)  -0.01
Sc (0.000, 0.000, 0.000)  -0.04

ii.
VASP calculation (PBE) on a relaxed ScAg3Os crystal.

Space group   Pm-3m
V   123.6 Å³/cell

a b c (Å): 4.982 4.982 4.982
angles (deg): 90.00 90.00 90.00
Positions (direct):
Ag (0.500, 0.000, 0.000)
Ag (0.000, 0.000, 0.500)
Ag (0.000, 0.500, 0.000)
Sc (0.500, 0.500, 0.500)
Os (0.000, 0.000, 0.000)

Least stable: i